1.
Entry from the Alexandria database: TaAlW2 after structural relaxation (PBE). Values from VASP.

Output
**Crystal system**: tetragonal
**Space group**: P4/mmm (123)
**Energy of formation**: 0.11 eV per atom

```
&SYSTEM
  ibrav = 0, nat = 4, ntyp = 3
/
ATOMIC_SPECIES
Ta 180.95 Ta.upf
Al 26.98 Al.upf
W 183.84 W.upf
ATOMIC_POSITIONS crystal
Ta 0.000 0.000 0.000
Al 0.000 0.000 0.500
W 0.500 0.500 0.267
W 0.500 0.500 0.733
CELL_PARAMETERS angstrom
2.728 0.000 0.000
0.000 2.728 0.000
0.000 0.000 8.839
```

---

2.
Entry from the Alexandria database: TaAlW2 after structural relaxation (PBE). Values from VASP.

Output
**Crystal system**: monoclinic
**Space group**: P2/m (10)
**Energy of formation**: -0.02 eV per atom

```
&SYSTEM
  ibrav = 0, nat = 4, ntyp = 3
/
ATOMIC_SPECIES
Ta 180.95 Ta.upf
Al 26.98 Al.upf
W 183.84 W.upf
ATOMIC_POSITIONS crystal
Ta 0.000 0.000 0.000
Al 0.500 0.000 0.500
W 0.248 0.500 0.749
W 0.752 0.500 0.251
CELL_PARAMETERS angstrom
2.762 0.000 0.000
0.000 4.531 0.000
-0.913 0.000 5.244
```

---

3.
Entry from the Alexandria database: Ta6AlW5 after structural relaxation (PBE). Values from VASP.

Output
**Crystal system**: orthorhombic
**Space group**: Immm (71)
**Energy of formation**: -0.11 eV per atom

```
&SYSTEM
  ibrav = 0, nat = 12, ntyp = 3
/
ATOMIC_SPECIES
Ta 180.95 Ta.upf
Al 26.98 Al.upf
W 183.84 W.upf
ATOMIC_POSITIONS crystal
Ta 0.080 0.332 0.747
Ta 0.244 0.000 0.244
Ta 0.415 0.668 0.747
Ta 0.585 0.332 0.253
Ta 0.756 0.000 0.756
Ta 0.920 0.668 0.253
Al 0.500 0.500 0.000
W 0.000 0.500 0.500
W 0.168 0.168 0.000
W 0.339 0.839 0.500
W 0.661 0.161 0.500
W 0.832 0.832 0.000
CELL_PARAMETERS angstrom
-2.288 3.247 6.886
2.288 -3.247 6.886
2.288 3.247 -6.886
```

---

4.
Entry from the Alexandria database: TaAlW2 after structural relaxation (PBE). Values from VASP.

Output
**Crystal system**: tetragonal
**Space group**: P4/mmm (123)
**Energy of formation**: 0.01 eV per atom

```
&SYSTEM
  ibrav = 0, nat = 4, ntyp = 3
/
ATOMIC_SPECIES
Ta 180.95 Ta.upf
Al 26.98 Al.upf
W 183.84 W.upf
ATOMIC_POSITIONS crystal
Ta 0.000 0.000 0.000
Al 0.000 0.000 0.500
W 0.500 0.500 0.267
W 0.500 0.500 0.733
CELL_PARAMETERS angstrom
3.360 0.000 0.000
0.000 3.360 0.000
0.000 0.000 5.805
```

---

5.
Entry from the Alexandria database: TaAlW2 after structural relaxation (PBE). Values from VASP.

Output
**Crystal system**: trigonal
**Space group**: R-3m (166)
**Energy of formation**: 0.23 eV per atom

```
&SYSTEM
  ibrav = 0, nat = 4, ntyp = 3
/
ATOMIC_SPECIES
Ta 180.95 Ta.upf
Al 26.98 Al.upf
W 183.84 W.upf
ATOMIC_POSITIONS crystal
Ta 0.000 0.000 0.000
Al 0.500 0.500 0.500
W 0.246 0.246 0.246
W 0.754 0.754 0.754
CELL_PARAMETERS angstrom
1.418 0.819 9.557
-1.418 0.819 9.557
0.000 -1.638 9.557
```

---

6.
Entry from the Alexandria database: TaAlW2 after structural relaxation (PBE). Values from VASP.

Output
**Crystal system**: tetragonal
**Space group**: P4mm (99)
**Energy of formation**: 0.12 eV per atom

```
&SYSTEM
  ibrav = 0, nat = 4, ntyp = 3
/
ATOMIC_SPECIES
Ta 180.95 Ta.upf
Al 26.98 Al.upf
W 183.84 W.upf
ATOMIC_POSITIONS crystal
Ta 0.000 0.000 0.000
Al 0.500 0.500 0.756
W 0.000 0.000 0.524
W 0.500 0.500 0.266
CELL_PARAMETERS angstrom
2.740 0.000 0.000
0.000 2.740 0.000
0.000 0.000 8.797
```

---

7.
Entry from the Alexandria database: TaAlW2 after structural relaxation (PBE). Values from VASP.

Output
**Crystal system**: orthorhombic
**Space group**: Cmm2 (35)
**Energy of formation**: -0.07 eV per atom

```
&SYSTEM
  ibrav = 0, nat = 4, ntyp = 3
/
ATOMIC_SPECIES
Ta 180.95 Ta.upf
Al 26.98 Al.upf
W 183.84 W.upf
ATOMIC_POSITIONS crystal
Ta 0.000 0.000 0.000
Al 0.500 0.500 0.746
W 0.000 0.000 0.505
W 0.500 0.500 0.257
CELL_PARAMETERS angstrom
1.624 -2.270 0.000
1.624 2.270 0.000
0.000 0.000 8.902
```

---

8.
Entry from the Alexandria database: TaAlW after structural relaxation (PBE). Values from VASP.

Output
**Crystal system**: orthorhombic
**Space group**: Fmm2 (42)
**Relative energy among the computed polymorphs**: 11 meV per atom
**Energy of formation**: -0.10 eV per atom

```
&SYSTEM
  ibrav = 0, nat = 3, ntyp = 3
/
ATOMIC_SPECIES
Ta 180.95 Ta.upf
Al 26.98 Al.upf
W 183.84 W.upf
ATOMIC_POSITIONS crystal
Ta 0.000 0.000 0.000
Al 0.332 0.332 0.668
W 0.673 0.673 0.327
CELL_PARAMETERS angstrom
0.000 2.246 6.726
1.637 0.000 6.726
1.637 2.246 0.000
```

---

9.
Entry from the Alexandria database: TaAlW after structural relaxation (PBE). Values from VASP.

Output
**Crystal system**: tetragonal
**Space group**: I4mm (107)
**Relative energy among the computed polymorphs**: 0 meV per atom
**Energy of formation**: -0.11 eV per atom

```
&SYSTEM
  ibrav = 0, nat = 3, ntyp = 3
/
ATOMIC_SPECIES
Ta 180.95 Ta.upf
Al 26.98 Al.upf
W 183.84 W.upf
ATOMIC_POSITIONS crystal
Ta 0.000 0.000 0.000
Al 0.676 0.676 0.000
W 0.342 0.342 0.000
CELL_PARAMETERS angstrom
-1.691 1.691 4.368
1.691 -1.691 4.368
1.691 1.691 -4.368
```

---

10.
Entry from the Alexandria database: TaAlW2 after structural relaxation (PBE). Values from VASP.

Output
**Crystal system**: orthorhombic
**Space group**: Pmmm (47)
**Energy of formation**: 0.12 eV per atom

```
&SYSTEM
  ibrav = 0, nat = 4, ntyp = 3
/
ATOMIC_SPECIES
Ta 180.95 Ta.upf
Al 26.98 Al.upf
W 183.84 W.upf
ATOMIC_POSITIONS crystal
Ta 0.000 0.000 0.000
Al 0.000 0.000 0.500
W 0.500 0.500 0.264
W 0.500 0.500 0.736
CELL_PARAMETERS angstrom
2.715 0.000 0.000
0.000 4.334 0.000
0.000 0.000 5.643
```

---

11.
Entry from the Alexandria database: YTa2Al after structural relaxation (PBE). Values from VASP.

Output
**Crystal system**: tetragonal
**Space group**: I-4m2 (119)
**Energy of formation**: 0.18 eV per atom

```
&SYSTEM
  ibrav = 0, nat = 4, ntyp = 3
/
ATOMIC_SPECIES
Y 88.91 Y.upf
Ta 180.95 Ta.upf
Al 26.98 Al.upf
ATOMIC_POSITIONS crystal
Y 0.000 0.000 0.000
Ta 0.500 0.500 0.000
Ta 0.750 0.250 0.500
Al 0.250 0.750 0.500
CELL_PARAMETERS angstrom
-2.216 2.216 4.075
2.216 -2.216 4.075
2.216 2.216 -4.075
```

---

12.
Entry from the Alexandria database: YTa2Al after structural relaxation (PBE). Values from VASP.

Output
**Crystal system**: orthorhombic
**Space group**: Pmmm (47)
**Energy of formation**: 0.16 eV per atom

```
&SYSTEM
  ibrav = 0, nat = 4, ntyp = 3
/
ATOMIC_SPECIES
Y 88.91 Y.upf
Ta 180.95 Ta.upf
Al 26.98 Al.upf
ATOMIC_POSITIONS crystal
Y 0.000 0.000 0.000
Ta 0.000 0.500 0.500
Ta 0.500 0.000 0.500
Al 0.500 0.500 0.000
CELL_PARAMETERS angstrom
4.057 0.000 0.000
0.000 4.243 0.000
0.000 0.000 4.695
```

---

Question: Which formula does entry 8 have?
Answer: TaAlW